The following is a DFT calculation (PBE) of an optimized crystal structure of Al3Ag4.

crystal system: hexagonal
calculated total energy: -0.11313 Ha/atom
density of states at the Fermi level: 0.455 states/eV/atom
energy relative to the elements: 104 kJ/mol of formula units
symmetry: No. 176

```
14
Lattice="2.870 0.000 0.000 0.000 9.965 -5.753 0.000 0.000 11.506" Properties=species:S:1:pos:R:3 pbc="T T T"
Al 2.153 9.149 0.974
Al 2.153 6.233 -2.657
Al 2.153 4.547 1.683
Al 0.718 0.815 4.779
Al 0.718 3.731 8.410
Al 0.718 5.418 4.070
Ag 2.153 3.322 5.753
Ag 0.718 6.643 0.000
Ag 2.153 7.133 2.599
Ag 2.153 8.649 -1.724
Ag 2.153 4.148 -0.875
Ag 0.718 2.832 3.154
Ag 0.718 1.316 7.477
Ag 0.718 5.817 6.628
```

***

The following is a DFT calculation (PBE) of an optimized crystal structure of Li4HgPb2.

crystal system: tetragonal
calculated total energy: -0.08876 Ha/atom
density of states at the Fermi level: 0.430 states/eV/atom
energy relative to the elements: -148 kJ/mol of formula units
symmetry: No. 139

```
7
Lattice="-1.784 1.869 4.002 -3.900 -2.693 -0.481 5.884 -4.660 1.965" Properties=species:S:1:pos:R:3 pbc="T T T"
Li 0.415 -5.288 2.655
Li 1.473 -3.007 4.896
Li -0.214 -0.196 2.831
Li -1.272 -2.476 0.590
Hg 0.000 0.000 0.000
Pb -1.355 -2.889 3.580
Pb 1.556 -2.594 1.906
```

***

The following is a DFT calculation (PBE) of an optimized crystal structure of CaPaGe2.

crystal system: trigonal
calculated total energy: -0.20416 Ha/atom
density of states at the Fermi level: 1.462 states/eV/atom
energy relative to the elements: -144 kJ/mol of formula units
symmetry: No. 166

```
4
Lattice="-3.241 -1.440 -2.580 0.894 -2.683 -3.352 -1.586 -6.432 1.856" Properties=species:S:1:pos:R:3 pbc="T T T"
Ge -2.925 -7.755 -3.180
Ge -1.009 -2.801 -0.897
Pa -1.967 -5.278 -2.038
Ca 0.000 0.000 0.000
```

***

The following is a DFT calculation (PBE) of an optimized crystal structure of PuZn3Cu2.

crystal system: trigonal
calculated total energy: -0.15991 Ha/atom
density of states at the Fermi level: 1.391 states/eV/atom
energy relative to the elements: 23 kJ/mol of formula units
symmetry: No. 166

```
12
Lattice="5.222 0.000 0.000 2.611 4.522 0.000 2.611 1.507 8.735" Properties=species:S:1:pos:R:3 pbc="T T T"
Pu 7.833 4.522 4.844
Pu 2.611 1.507 3.891
Zn 3.930 3.761 2.124
Zn 5.222 1.523 2.124
Zn 6.514 3.761 2.124
Zn 5.222 4.507 6.611
Zn 6.514 2.269 6.611
Zn 3.930 2.269 6.611
Cu 0.000 0.000 0.000
Cu 1.305 2.261 0.000
Cu 3.916 2.261 0.000
Cu 2.611 0.000 0.000
```

***

The following is a DFT calculation (PBE) of an optimized crystal structure of NdSmSnHg.

crystal system: tetragonal
calculated total energy: -0.14792 Ha/atom
density of states at the Fermi level: 0.863 states/eV/atom
energy relative to the elements: -223 kJ/mol of formula units
symmetry: No. 99

```
4
Lattice="-0.067 3.018 2.405 -3.793 -0.494 0.514 1.395 -4.624 5.841" Properties=species:S:1:pos:R:3 pbc="T T T"
Nd -1.088 -1.530 4.987
Sm -1.774 0.746 2.111
Sn 1.202 -3.984 5.033
Hg 0.490 -1.623 2.050
```

***

The following is a DFT calculation (PBE) of an optimized crystal structure of Sb2MoPt.

ΔE_f (raw): -0.058 eV/atom
crystal system: orthorhombic
calculated total energy: -0.23289 Ha/atom
density of states at the Fermi level: 0.699 states/eV/atom
symmetry: No. 38

```
4
Lattice="5.614 -0.008 -0.007 4.457 3.413 -0.007 0.005 0.002 4.152" Properties=species:S:1:pos:R:3 pbc="T T T"
Mo 5.505 1.861 1.549
Pt 7.234 2.446 3.623
Sb 9.783 3.307 3.619
Sb 2.670 0.903 1.553
```

***

The following is a DFT calculation (PBE) of an optimized crystal structure of CsTcCl4.

ΔE_f (raw): -1.079 eV/atom
crystal system: monoclinic
calculated total energy: -0.15361 Ha/atom
density of states at the Fermi level: 0.073 states/eV/atom
symmetry: No. 15

```
12
Lattice="8.839 0.416 0.000 -0.878 5.951 0.000 -3.981 -3.183 7.729" Properties=species:S:1:pos:R:3 pbc="T T T"
Cs 1.771 3.079 0.988
Cs 2.210 0.104 6.740
Tc -2.649 2.872 4.676
Tc 6.629 0.312 3.052
Cl 7.901 1.392 1.348
Cl 4.479 5.183 1.348
Cl -0.960 1.112 4.742
Cl 4.940 2.072 2.986
Cl -1.399 4.087 2.986
Cl -0.499 -1.999 6.380
Cl 5.379 -0.904 4.742
Cl -3.920 1.791 6.380
```

***

The following is a DFT calculation (PBE) of an optimized crystal structure of Cs3In2PbI9.

ΔE_f (raw): -0.940 eV/atom
crystal system: trigonal
calculated total energy: -0.09751 Ha/atom
density of states at the Fermi level: 0.119 states/eV/atom
symmetry: No. 164

```
15
Lattice="8.826 0.000 0.000 -4.413 7.644 0.000 0.000 0.000 10.797" Properties=species:S:1:pos:R:3 pbc="T T T"
Cs 0.000 5.096 7.107
Cs 0.000 0.000 0.000
Cs 4.413 2.548 3.690
In 0.000 5.096 1.689
In 4.413 2.548 9.108
Pb 0.000 0.000 5.398
I 6.558 1.310 7.233
I 4.413 5.024 7.233
I 2.269 1.310 7.233
I 2.145 6.334 3.564
I 0.000 2.619 3.564
I -2.145 6.334 3.564
I 4.413 0.000 0.000
I -2.207 3.822 0.000
I 2.207 3.822 0.000
```